Compound: MoAs
Source: Alexandria
Functional: GGA-PBE
Structure: optimized geometry

Cell: 2.822 2.822 9.575 Å, 90.00 90.00 108.64°
Sites, in units of the cell vectors:
Mo  0.250  0.750  0.886
Mo  0.750  0.250  0.114
As  0.250  0.750  0.327
As  0.750  0.250  0.673

Output
**Symmetry**: Cmme
**Size of the total moment**: 0.0 μB/f.u.
**Crystal system**: orthorhombic
**Formation energy from the elements**: 12.1 kJ/mol of atoms
**V**: 72 Å³ per cell
**Density of states at the Fermi level**: 1.71 states/eV/f.u.


Compound: Er2BeCo6Si
Source: Alexandria
Functional: GGA-PBE
Structure: optimized geometry

Cell: 5.819 5.819 5.819 Å, 60.00 60.00 60.00°
Sites, in units of the cell vectors:
Er  0.250  0.250  0.250
Er  0.750  0.750  0.750
Be  0.000  0.000  0.000
Co  0.240  0.240  0.760
Co  0.240  0.760  0.240
Co  0.240  0.760  0.760
Co  0.760  0.240  0.240
Co  0.760  0.240  0.760
Co  0.760  0.760  0.240
Si  0.500  0.500  0.500

Output
**Symmetry**: Fm-3m
**Size of the total moment**: 2.0 μB/f.u.
**Energy relative to the elements, uncorrected**: -86 meV/atom
**Crystal system**: cubic
**V**: 139 Å³ per cell
**Density of states at the Fermi level**: 4.01 states/eV/f.u.


Compound: SrIr2Rh
Source: Alexandria
Functional: GGA-PBE
Structure: optimized geometry

Cell: 2.948 2.948 8.247 Å, 90.00 90.00 90.00°
Sites, in units of the cell vectors:
Sr  0.000  0.000  0.000
Ir  0.000  0.000  0.501
Ir  0.500  0.500  0.297
Rh  0.500  0.500  0.708

Output
**Symmetry**: P4mm
**Size of the total moment**: 0.0 μB/f.u.
**Crystal system**: tetragonal
**Formation energy from the elements**: 22.8 kJ/mol of atoms
**V**: 72 Å³ per cell
**Density of states at the Fermi level**: 4.11 states/eV/f.u.
**Excess energy over the best structure of this formula in the dataset**: 0.0455 eV per atom


Compound: Cs3KNb
Source: Alexandria
Functional: GGA-PBE
Structure: optimized geometry

Cell: 6.945 6.945 6.945 Å, 90.00 90.00 90.00°
Sites, in units of the cell vectors:
Cs  0.000  0.000  0.500
Cs  0.000  0.500  0.000
Cs  0.500  0.000  0.000
K  0.500  0.500  0.500
Nb  0.000  0.000  0.000

Output
**Symmetry**: Pm-3m
**Size of the total moment**: 5.1 μB/f.u.
**Crystal system**: cubic
**Formation energy from the elements**: 98.3 kJ/mol of atoms
**V**: 335 Å³ per cell
**Density of states at the Fermi level**: 1.30 states/eV/f.u.
**Excess energy over the best structure of this formula in the dataset**: 0.0000 eV per atom


Compound: EuAlO2
Source: Alexandria
Functional: GGA-PBE
Structure: optimized geometry

Cell: 6.330 6.330 6.330 Å, 27.50 27.50 27.50°
Sites, in units of the cell vectors:
Eu  0.000  0.000  0.000
Al  0.500  0.500  0.500
O  0.220  0.220  0.220
O  0.780  0.780  0.780

Output
**Symmetry**: R-3m
**Size of the total moment**: 7.4 μB/f.u.
**Energy relative to the elements, uncorrected**: -2270 meV/atom
**Crystal system**: trigonal
**V**: 48 Å³ per cell
**Density of states at the Fermi level**: 1.47 states/eV/f.u.


Compound: MgCo2Si
Source: Alexandria
Functional: GGA-PBE
Structure: optimized geometry

Cell: 5.567 5.567 5.567 Å, 151.76 133.71 55.11°
Sites, in units of the cell vectors:
Mg  0.000  0.000  0.000
Co  0.282  0.282  0.000
Co  0.718  0.718  0.000
Si  0.500  0.500  0.000

Output
**Symmetry**: Immm
**Size of the total moment**: 2.4 μB/f.u.
**Energy relative to the elements, uncorrected**: 450 meV/atom
**Crystal system**: orthorhombic
**V**: 59 Å³ per cell
**Density of states at the Fermi level**: 5.27 states/eV/f.u.